[1]
# PBE-GGA YAlSb, relaxed
data_YAlSb
_symmetry_space_group_name_H-M 'F m m 2'
_symmetry_Int_Tables_number 42
_symmetry_space_group_name_Hall 'F 2 -2'
_cell_length_a 4.9149
_cell_length_b 5.6533
_cell_length_c 10.5278
_cell_angle_alpha 90.00
_cell_angle_beta 90.00
_cell_angle_gamma 90.00
loop_
_atom_site_label
_atom_site_type_symbol
_atom_site_fract_x
_atom_site_fract_y
_atom_site_fract_z
Y1 Y 0.0000 0.0000 0.0000
Al1 Al 0.0000 0.0000 0.6809
Sb1 Sb 0.0000 0.0000 0.3142
# Uncorrected energy (eV per atom): -5.170
# ΔE_f (raw) (eV per formula unit): -1.18

***

[2]
# PBE-GGA Y4AlSb, relaxed
data_Y4AlSb
_symmetry_space_group_name_H-M 'F -4 3 m'
_symmetry_Int_Tables_number 216
_symmetry_space_group_name_Hall 'F -4 2 3'
_cell_length_a 8.8423
_cell_length_b 8.8423
_cell_length_c 8.8423
_cell_angle_alpha 90.00
_cell_angle_beta 90.00
_cell_angle_gamma 90.00
loop_
_atom_site_label
_atom_site_type_symbol
_atom_site_fract_x
_atom_site_fract_y
_atom_site_fract_z
Y1 Y 0.1245 0.1245 0.1245
Al1 Al 0.2500 0.2500 0.7500
Sb1 Sb 0.0000 0.0000 0.5000
# Polymorph energy (0 for the lowest one) (meV per atom): 719
# Uncorrected energy (eV per atom): -5.427
# ΔE_f (raw) (eV per formula unit): 1.16

***

[3]
# PBE-GGA YAl3Sb, relaxed
data_YAl3Sb
_symmetry_space_group_name_H-M 'P m -3 m'
_symmetry_Int_Tables_number 221
_symmetry_space_group_name_Hall '-P 4 2 3'
_cell_length_a 5.5057
_cell_length_b 5.5057
_cell_length_c 5.5057
_cell_angle_alpha 90.00
_cell_angle_beta 90.00
_cell_angle_gamma 90.00
loop_
_atom_site_label
_atom_site_type_symbol
_atom_site_fract_x
_atom_site_fract_y
_atom_site_fract_z
Y1 Y 0.0000 0.0000 0.0000
Al1 Al 0.0000 0.0000 0.5000
Sb1 Sb 0.5000 0.5000 0.5000
# Polymorph energy (0 for the lowest one) (meV per atom): 447
# Uncorrected energy (eV per atom): -3.277
# ΔE_f (raw) (eV per formula unit): 5.43

***

[4]
# PBE-GGA Y6Al2Sb, relaxed
data_Y6Al2Sb
_symmetry_space_group_name_H-M 'I m m m'
_symmetry_Int_Tables_number 71
_symmetry_space_group_name_Hall '-I 2 2'
_cell_length_a 9.5655
_cell_length_b 9.8065
_cell_length_c 10.7989
_cell_angle_alpha 90.00
_cell_angle_beta 90.00
_cell_angle_gamma 90.00
loop_
_atom_site_label
_atom_site_type_symbol
_atom_site_fract_x
_atom_site_fract_y
_atom_site_fract_z
Y1 Y 0.0000 0.2027 0.1776
Y2 Y 0.1840 0.2252 0.5000
Y3 Y 0.2011 0.5000 0.2571
Al1 Al 0.0000 0.0000 0.3807
Al2 Al 0.1427 0.0000 0.0000
Sb1 Sb 0.0000 0.5000 0.0000
Sb2 Sb 0.0000 0.5000 0.5000
# Uncorrected energy (eV per atom): -6.021
# ΔE_f (raw) (eV per formula unit): -3.80